1.
A geometry-optimized Ba2PrSn3Rh4 structure. Source: the Alexandria database, functional PBE-GGA.

## Properties
Energy relative to the elements in eV per atom: -0.611
Crystal system: tetragonal
DOS at the Fermi energy in states/eV per atom: 0.755

```
Ba2PrSn3Rh4
1.0
4.643 0.000 0.000
0.000 4.643 0.000
0.000 0.000 11.554
Ba Pr Sn Rh
2 1 3 4
Direct
0.000 0.500 0.235
0.500 0.000 0.765
0.000 0.000 0.500
0.000 0.500 0.883
0.500 0.000 0.117
0.500 0.500 0.500
0.000 0.000 0.000
0.000 0.500 0.644
0.500 0.000 0.356
0.500 0.500 0.000
```


2.
A geometry-optimized BaPrRu structure. Source: the Alexandria database, functional PBE-GGA.

## Properties
Energy relative to the elements in eV per atom: 0.053
Crystal system: monoclinic
DOS at the Fermi energy in states/eV per atom: 1.085

```
BaPrRu
1.0
12.016 -2.507 0.000
12.016 2.507 0.000
-0.016 0.000 7.308
Ba Pr Ru
4 4 4
Direct
0.080 0.080 0.269
0.415 0.415 0.230
0.585 0.585 0.770
0.920 0.920 0.731
0.208 0.208 0.629
0.224 0.224 0.143
0.776 0.776 0.857
0.792 0.792 0.371
0.325 0.325 0.903
0.327 0.327 0.569
0.673 0.673 0.431
0.675 0.675 0.097
```